Record 1
La2PmHoTm: optimized geometry, PBE-GGA.

total moment	0.00	μB/f.u.
E_form	0.3936	eV/atom
crystal system	orthorhombic
SG	Cmcm (63)

Cell lengths 7.214, 7.214, 7.377 Å; angles 90.00, 90.00, 107.88 degrees
Positions (direct):
La (0.196, 0.196, 0.000)
La (0.196, 0.196, 0.500)
La (0.804, 0.804, 0.000)
La (0.804, 0.804, 0.500)
Pm (0.223, 0.777, 0.750)
Pm (0.777, 0.223, 0.250)
Ho (0.240, 0.760, 0.250)
Ho (0.760, 0.240, 0.750)
Tm (0.487, 0.513, 0.750)
Tm (0.513, 0.487, 0.250)

***

Record 2
La3PmHoTm: optimized geometry, PBE-GGA.

total moment	0.00	μB/f.u.
E_form	0.0335	eV/atom
crystal system	monoclinic
SG	P2_1/m (11)

Cell lengths 8.083, 5.210, 10.389 Å; angles 90.00, 108.85, 90.00 degrees
Positions (direct):
La (0.170, 0.250, 0.041)
La (0.171, 0.250, 0.544)
La (0.173, 0.750, 0.294)
La (0.827, 0.250, 0.706)
La (0.829, 0.750, 0.456)
La (0.830, 0.750, 0.959)
Pm (0.171, 0.750, 0.792)
Pm (0.829, 0.250, 0.208)
Ho (0.500, 0.250, 0.877)
Ho (0.500, 0.750, 0.123)
Tm (0.498, 0.750, 0.626)
Tm (0.502, 0.250, 0.374)

***

Record 3
La2PmHo5Tm: optimized geometry, PBE-GGA.

total moment	0.00	μB/f.u.
E_form	0.2612	eV/atom
crystal system	tetragonal
SG	I4/mcm (140)

Cell lengths 9.985, 9.985, 9.985 Å; angles 128.65, 128.65, 75.58 degrees
Positions (direct):
La (0.118, 0.618, 0.735)
La (0.382, 0.118, 0.500)
La (0.618, 0.882, 0.500)
La (0.882, 0.382, 0.265)
Pm (0.250, 0.250, 0.000)
Pm (0.750, 0.750, 0.000)
Ho (0.000, 0.000, 0.000)
Ho (0.074, 0.142, 0.500)
Ho (0.142, 0.642, 0.068)
Ho (0.358, 0.426, 0.500)
Ho (0.426, 0.926, 0.068)
Ho (0.500, 0.500, 0.000)
Ho (0.574, 0.074, 0.932)
Ho (0.642, 0.574, 0.500)
Ho (0.858, 0.358, 0.932)
Ho (0.926, 0.858, 0.500)
Tm (0.250, 0.750, 0.500)
Tm (0.750, 0.250, 0.500)

***

Record 4
LaPm2HoTm2: optimized geometry, PBE-GGA.

total moment	0.00	μB/f.u.
E_form	0.1565	eV/atom
crystal system	orthorhombic
SG	Pnnm (58)

Cell lengths 6.972, 16.274, 3.530 Å; angles 90.00, 90.00, 90.00 degrees
Positions (direct):
La (0.000, 0.000, 0.000)
La (0.500, 0.500, 0.500)
Pm (0.246, 0.339, 0.000)
Pm (0.254, 0.839, 0.500)
Pm (0.746, 0.161, 0.500)
Pm (0.754, 0.661, 0.000)
Ho (0.000, 0.500, 0.500)
Ho (0.500, 0.000, 0.000)
Tm (0.248, 0.153, 0.500)
Tm (0.252, 0.653, 0.000)
Tm (0.748, 0.347, 0.000)
Tm (0.752, 0.847, 0.500)

***

Record 5
LaPmHoTm: optimized geometry, PBE-GGA.

total moment	0.00	μB/f.u.
E_form	0.1005	eV/atom
energy above the lowest structure with this stoichiometry	0.007	eV per atom
crystal system	monoclinic
SG	Cm (8)

Cell lengths 12.453, 5.881, 3.827 Å; angles 90.00, 107.37, 90.00 degrees
Positions (direct):
La (0.000, 0.000, 0.000)
La (0.500, 0.500, 0.000)
Pm (0.232, 0.500, 0.174)
Pm (0.732, 0.000, 0.174)
Ho (0.255, 0.000, 0.708)
Ho (0.755, 0.500, 0.708)
Tm (0.490, 0.000, 0.462)
Tm (0.990, 0.500, 0.462)

***

Record 6
La6Pm2HoTm: optimized geometry, PBE-GGA.

total moment	0.00	μB/f.u.
E_form	0.1148	eV/atom
crystal system	monoclinic
SG	C2/c (15)

Cell lengths 9.110, 9.110, 9.283 Å; angles 90.50, 90.50, 114.26 degrees
Positions (direct):
La (0.035, 0.471, 0.681)
La (0.069, 0.783, 0.904)
La (0.217, 0.931, 0.596)
La (0.276, 0.575, 0.091)
La (0.425, 0.724, 0.409)
La (0.471, 0.035, 0.181)
La (0.529, 0.965, 0.819)
La (0.575, 0.276, 0.591)
La (0.724, 0.425, 0.909)
La (0.783, 0.069, 0.404)
La (0.931, 0.217, 0.096)
La (0.965, 0.529, 0.319)
Pm (0.206, 0.295, 0.437)
Pm (0.295, 0.206, 0.937)
Pm (0.705, 0.794, 0.063)
Pm (0.794, 0.705, 0.563)
Ho (0.435, 0.565, 0.750)
Ho (0.565, 0.435, 0.250)
Tm (0.070, 0.930, 0.250)
Tm (0.930, 0.070, 0.750)

***

Record 7
La2PmHoTm4: optimized geometry, PBE-GGA.

total moment	0.09	μB/f.u.
E_form	0.4062	eV/atom
crystal system	monoclinic
SG	C2/c (15)

Cell lengths 9.507, 9.507, 6.782 Å; angles 110.89, 110.89, 88.20 degrees
Positions (direct):
La (0.000, 0.000, 0.000)
La (0.000, 0.000, 0.500)
La (0.000, 0.500, 0.000)
La (0.500, 0.000, 0.500)
Pm (0.000, 0.500, 0.500)
Pm (0.500, 0.000, 0.000)
Ho (0.500, 0.500, 0.000)
Ho (0.500, 0.500, 0.500)
Tm (0.254, 0.746, 0.502)
Tm (0.254, 0.746, 0.998)
Tm (0.255, 0.255, 0.006)
Tm (0.255, 0.255, 0.506)
Tm (0.745, 0.745, 0.494)
Tm (0.745, 0.745, 0.994)
Tm (0.746, 0.254, 0.002)
Tm (0.746, 0.254, 0.498)

***

Record 8
La2PmHo2Tm2: optimized geometry, PBE-GGA.

total moment	0.00	μB/f.u.
E_form	0.0336	eV/atom
crystal system	monoclinic
SG	C2/m (12)

Cell lengths 11.368, 5.082, 8.076 Å; angles 90.00, 98.28, 90.00 degrees
Positions (direct):
La (0.142, 0.000, 0.427)
La (0.358, 0.500, 0.573)
La (0.642, 0.500, 0.427)
La (0.858, 0.000, 0.573)
Pm (0.000, 0.000, 0.000)
Pm (0.500, 0.500, 0.000)
Ho (0.071, 0.500, 0.720)
Ho (0.429, 0.000, 0.280)
Ho (0.571, 0.000, 0.720)
Ho (0.929, 0.500, 0.280)
Tm (0.216, 0.500, 0.138)
Tm (0.284, 0.000, 0.862)
Tm (0.716, 0.000, 0.138)
Tm (0.784, 0.500, 0.862)

***

Record 9
La3Pm6HoTm2: optimized geometry, PBE-GGA.

total moment	0.00	μB/f.u.
E_form	0.0233	eV/atom
crystal system	monoclinic
SG	C2/m (12)

Cell lengths 6.309, 6.309, 12.043 Å; angles 95.02, 95.02, 120.05 degrees
Positions (direct):
La (0.000, 0.000, 0.000)
La (0.333, 0.667, 0.000)
La (0.667, 0.333, 0.000)
Pm (0.085, 0.419, 0.257)
Pm (0.247, 0.247, 0.743)
Pm (0.419, 0.085, 0.257)
Pm (0.581, 0.915, 0.743)
Pm (0.753, 0.753, 0.257)
Pm (0.915, 0.581, 0.743)
Ho (0.500, 0.500, 0.500)
Tm (0.167, 0.833, 0.500)
Tm (0.833, 0.167, 0.500)

***

Record 10
La3PmHo6Tm2: optimized geometry, PBE-GGA.

total moment	0.00	μB/f.u.
E_form	0.0237	eV/atom
crystal system	monoclinic
SG	C2/m (12)

Cell lengths 6.213, 6.213, 11.844 Å; angles 95.01, 95.01, 120.01 degrees
Positions (direct):
La (0.000, 0.000, 0.000)
La (0.333, 0.667, 0.000)
La (0.667, 0.333, 0.000)
Pm (0.500, 0.500, 0.500)
Ho (0.084, 0.418, 0.256)
Ho (0.247, 0.247, 0.744)
Ho (0.418, 0.084, 0.256)
Ho (0.582, 0.916, 0.744)
Ho (0.753, 0.753, 0.256)
Ho (0.916, 0.582, 0.744)
Tm (0.167, 0.833, 0.500)
Tm (0.833, 0.167, 0.500)

***

Record 11
LaPm3Ho2Tm6: optimized geometry, PBE-GGA.

total moment	0.00	μB/f.u.
E_form	0.0219	eV/atom
crystal system	monoclinic
SG	C2/m (12)

Cell lengths 6.169, 6.169, 11.719 Å; angles 95.02, 95.02, 119.98 degrees
Positions (direct):
La (0.000, 0.000, 0.000)
Pm (0.167, 0.833, 0.500)
Pm (0.500, 0.500, 0.500)
Pm (0.833, 0.167, 0.500)
Ho (0.333, 0.667, 0.000)
Ho (0.667, 0.333, 0.000)
Tm (0.084, 0.418, 0.250)
Tm (0.251, 0.251, 0.750)
Tm (0.418, 0.084, 0.250)
Tm (0.582, 0.916, 0.750)
Tm (0.749, 0.749, 0.250)
Tm (0.916, 0.582, 0.750)

***

Record 12
La3PmHo2Tm6: optimized geometry, PBE-GGA.

total moment	0.00	μB/f.u.
E_form	0.0245	eV/atom
crystal system	monoclinic
SG	C2/m (12)

Cell lengths 6.200, 6.200, 11.741 Å; angles 95.04, 95.04, 119.99 degrees
Positions (direct):
La (0.000, 0.000, 0.000)
La (0.333, 0.667, 0.000)
La (0.667, 0.333, 0.000)
Pm (0.500, 0.500, 0.500)
Ho (0.167, 0.833, 0.500)
Ho (0.833, 0.167, 0.500)
Tm (0.085, 0.418, 0.255)
Tm (0.248, 0.248, 0.745)
Tm (0.418, 0.085, 0.255)
Tm (0.582, 0.915, 0.745)
Tm (0.752, 0.752, 0.255)
Tm (0.915, 0.582, 0.745)